1.
First-principles (GGA-PBE) data for crystalline BaLiTlSn2 at its relaxed geometry, as listed in the Alexandria database.

Calculated formation energy: -0.2790 eV per atom
Calculated density: 6.58 g/cm3
Excess energy over the best structure of this formula in the dataset: 127 meV per atom

CIF file:
```
data_BaLiTlSn2
_symmetry_space_group_name_H-M 'P 4/m m m'
_symmetry_Int_Tables_number 123
_symmetry_space_group_name_Hall '-P 4 2'
_cell_length_a 5.262
_cell_length_b 5.262
_cell_length_c 5.344
_cell_angle_alpha 90.00
_cell_angle_beta 90.00
_cell_angle_gamma 90.00
loop_
_atom_site_label
_atom_site_type_symbol
_atom_site_fract_x
_atom_site_fract_y
_atom_site_fract_z
Ba1 Ba 0.000 0.000 0.000
Li1 Li 0.500 0.500 0.500
Tl1 Tl 0.500 0.500 0.000
Sn1 Sn 0.000 0.500 0.500
```

2.
First-principles (GGA-PBE) data for crystalline SmZrGa2 at its relaxed geometry, as listed in the Alexandria database.

Calculated formation energy: -0.4181 eV per atom
Calculated density: 7.34 g/cm3
Excess energy over the best structure of this formula in the dataset: 76 meV per atom

CIF file:
```
data_SmZrGa2
_symmetry_space_group_name_H-M 'F m -3 m'
_symmetry_Int_Tables_number 225
_symmetry_space_group_name_Hall '-F 4 2 3'
_cell_length_a 7.013
_cell_length_b 7.013
_cell_length_c 7.013
_cell_angle_alpha 90.00
_cell_angle_beta 90.00
_cell_angle_gamma 90.00
loop_
_atom_site_label
_atom_site_type_symbol
_atom_site_fract_x
_atom_site_fract_y
_atom_site_fract_z
Sm1 Sm 0.000 0.000 0.000
Zr1 Zr 0.000 0.000 0.500
Ga1 Ga 0.250 0.250 0.250
```

3.
First-principles (GGA-PBE) data for crystalline YCdP at its relaxed geometry, as listed in the Alexandria database.

Calculated formation energy: -0.4072 eV per atom
Calculated density: 5.39 g/cm3
Excess energy over the best structure of this formula in the dataset: 346 meV per atom

CIF file:
```
data_YCdP
_symmetry_space_group_name_H-M 'F -4 3 m'
_symmetry_Int_Tables_number 216
_symmetry_space_group_name_Hall 'F -4 2 3'
_cell_length_a 6.590
_cell_length_b 6.590
_cell_length_c 6.590
_cell_angle_alpha 90.00
_cell_angle_beta 90.00
_cell_angle_gamma 90.00
loop_
_atom_site_label
_atom_site_type_symbol
_atom_site_fract_x
_atom_site_fract_y
_atom_site_fract_z
Y1 Y 0.000 0.000 0.000
Cd1 Cd 0.000 0.000 0.500
P1 P 0.250 0.250 0.750
```

4.
First-principles (GGA-PBE) data for crystalline ZrAl2Pb at its relaxed geometry, as listed in the Alexandria database.

Calculated formation energy: 0.3058 eV per atom
Calculated density: 6.67 g/cm3

CIF file:
```
data_ZrAl2Pb
_symmetry_space_group_name_H-M 'F -4 3 m'
_symmetry_Int_Tables_number 216
_symmetry_space_group_name_Hall 'F -4 2 3'
_cell_length_a 7.053
_cell_length_b 7.053
_cell_length_c 7.053
_cell_angle_alpha 90.00
_cell_angle_beta 90.00
_cell_angle_gamma 90.00
loop_
_atom_site_label
_atom_site_type_symbol
_atom_site_fract_x
_atom_site_fract_y
_atom_site_fract_z
Zr1 Zr 0.000 0.000 0.000
Al1 Al 0.000 0.000 0.500
Al2 Al 0.250 0.250 0.750
Pb1 Pb 0.250 0.250 0.250
```

5.
First-principles (GGA-PBE) data for crystalline SiRu2Se at its relaxed geometry, as listed in the Alexandria database.

Formation energy without anion corrections: 166 meV per atom
Calculated density: 8.55 g/cm3
Excess energy over the best structure of this formula in the dataset: 347 meV per atom

CIF file:
```
data_SiRu2Se
_symmetry_space_group_name_H-M 'C m m m'
_symmetry_Int_Tables_number 65
_symmetry_space_group_name_Hall '-C 2 2'
_cell_length_a 2.987
_cell_length_b 4.943
_cell_length_c 8.135
_cell_angle_alpha 90.00
_cell_angle_beta 90.00
_cell_angle_gamma 90.00
loop_
_atom_site_label
_atom_site_type_symbol
_atom_site_fract_x
_atom_site_fract_y
_atom_site_fract_z
Si1 Si 0.000 0.000 0.000
Ru1 Ru 0.000 0.500 0.223
Se1 Se 0.000 0.000 0.500
```

6.
First-principles (GGA-PBE) data for crystalline Pr4Ho3Tm2 at its relaxed geometry, as listed in the Alexandria database.

Calculated formation energy: 0.0911 eV per atom
Calculated density: 7.82 g/cm3
Excess energy over the best structure of this formula in the dataset: 28 meV per atom

CIF file:
```
data_Pr4Ho3Tm2
_symmetry_space_group_name_H-M 'C 1 2/c 1'
_symmetry_Int_Tables_number 15
_cell_length_a 16.826
_cell_length_b 11.755
_cell_length_c 6.045
_cell_angle_alpha 90.00
_cell_angle_beta 97.28
_cell_angle_gamma 90.00
loop_
_symmetry_equiv_pos_as_xyz
'x,y,z'
'-x,-y,-z'
'-x,y,-z+1/2'
'x,-y,z+1/2'
'x+1/2,y+1/2,z'
'-x+1/2,-y+1/2,-z'
'-x+1/2,y+1/2,-z+1/2'
'x+1/2,-y+1/2,z+1/2'
loop_
_atom_site_label
_atom_site_type_symbol
_atom_site_fract_x
_atom_site_fract_y
_atom_site_fract_z
Pr1 Pr 0.064 0.114 0.045
Pr2 Pr 0.225 0.388 0.887
Ho1 Ho 0.000 0.353 0.750
Ho2 Ho 0.170 0.151 0.579
Tm1 Tm 0.101 0.393 0.301
```

7.
First-principles (GGA-PBE) data for crystalline DyY2F at its relaxed geometry, as listed in the Alexandria database.

Formation energy without anion corrections: -1140 meV per atom
Calculated density: 5.98 g/cm3

CIF file:
```
data_DyY2F
_symmetry_space_group_name_H-M 'R -3 m'
_symmetry_Int_Tables_number 166
_symmetry_space_group_name_Hall '-R 3 2"'
_cell_length_a 3.6802
_cell_length_b 3.6802
_cell_length_c 25.5153
_cell_angle_alpha 90.00
_cell_angle_beta 90.00
_cell_angle_gamma 120.00
loop_
_atom_site_label
_atom_site_type_symbol
_atom_site_fract_x
_atom_site_fract_y
_atom_site_fract_z
Dy1 Dy 0.0000 0.0000 0.0000
Y1 Y 0.0000 0.0000 0.2234
F1 F 0.0000 0.0000 0.5000
```

8.
First-principles (GGA-PBE) data for crystalline NaHfGe2H at its relaxed geometry, as listed in the Alexandria database.

Calculated density: 7.36 g/cm3

CIF file:
```
data_NaHfGe2H
_symmetry_space_group_name_H-M 'P 4/m m m'
_symmetry_Int_Tables_number 123
_symmetry_space_group_name_Hall '-P 4 2'
_cell_length_a 4.439
_cell_length_b 4.439
_cell_length_c 3.983
_cell_angle_alpha 90.00
_cell_angle_beta 90.00
_cell_angle_gamma 90.00
loop_
_atom_site_label
_atom_site_type_symbol
_atom_site_fract_x
_atom_site_fract_y
_atom_site_fract_z
Na1 Na 0.000 0.000 0.000
Hf1 Hf 0.500 0.500 0.000
Ge1 Ge 0.000 0.500 0.500
H1 H 0.000 0.000 0.500
```

9.
First-principles (GGA-PBE) data for crystalline NaBe3Sb at its relaxed geometry, as listed in the Alexandria database.

Formation energy without anion corrections: 1133 meV per atom
Calculated density: 2.46 g/cm3
Excess energy over the best structure of this formula in the dataset: 0 meV per atom

CIF file:
```
data_NaBe3Sb
_symmetry_space_group_name_H-M 'P m -3 m'
_symmetry_Int_Tables_number 221
_symmetry_space_group_name_Hall '-P 4 2 3'
_cell_length_a 4.874
_cell_length_b 4.874
_cell_length_c 4.874
_cell_angle_alpha 90.00
_cell_angle_beta 90.00
_cell_angle_gamma 90.00
loop_
_atom_site_label
_atom_site_type_symbol
_atom_site_fract_x
_atom_site_fract_y
_atom_site_fract_z
Na1 Na 0.000 0.000 0.000
Be1 Be 0.000 0.500 0.500
Sb1 Sb 0.500 0.500 0.500
```

10.
First-principles (GGA-PBE) data for crystalline Ba2CoTe at its relaxed geometry, as listed in the Alexandria database.

Formation energy without anion corrections: -349 meV per atom
Calculated density: 4.73 g/cm3

CIF file:
```
data_Ba2CoTe
_symmetry_space_group_name_H-M 'R -3 m'
_symmetry_Int_Tables_number 166
_symmetry_space_group_name_Hall '-R 3 2"'
_cell_length_a 4.7792
_cell_length_b 4.7792
_cell_length_c 24.5291
_cell_angle_alpha 90.00
_cell_angle_beta 90.00
_cell_angle_gamma 120.00
loop_
_atom_site_label
_atom_site_type_symbol
_atom_site_fract_x
_atom_site_fract_y
_atom_site_fract_z
Ba1 Ba 0.0000 0.0000 0.2472
Co1 Co 0.0000 0.0000 0.5000
Te1 Te 0.0000 0.0000 0.0000
```

11.
First-principles (GGA-PBE) data for crystalline SbAsPb at its relaxed geometry, as listed in the Alexandria database.

Formation energy without anion corrections: 75 meV per atom
Calculated density: 7.88 g/cm3
Excess energy over the best structure of this formula in the dataset: 30 meV per atom

CIF file:
```
data_SbAsPb
_symmetry_space_group_name_H-M 'P 3 m 1'
_symmetry_Int_Tables_number 156
_cell_length_a 3.8751
_cell_length_b 3.8751
_cell_length_c 6.5454
_cell_angle_alpha 90.00
_cell_angle_beta 90.00
_cell_angle_gamma 120.00
loop_
_symmetry_equiv_pos_as_xyz
'x,y,z'
'-y,x-y,z'
'-x+y,-x,z'
'-y,-x,z'
'-x+y,y,z'
'x,x-y,z'
loop_
_atom_site_label
_atom_site_type_symbol
_atom_site_fract_x
_atom_site_fract_y
_atom_site_fract_z
Sb1 Sb 0.0000 0.0000 0.0000
As1 As 0.6667 0.3333 0.2505
Pb1 Pb 0.3333 0.6667 0.5953
```

12.
First-principles (GGA-PBE) data for crystalline Si3TeOs at its relaxed geometry, as listed in the Alexandria database.

Formation energy without anion corrections: 248 meV per atom
Calculated density: 6.37 g/cm3
Excess energy over the best structure of this formula in the dataset: 0 meV per atom

CIF file:
```
data_Si3TeOs
_symmetry_space_group_name_H-M 'P m -3 m'
_symmetry_Int_Tables_number 221
_symmetry_space_group_name_Hall '-P 4 2 3'
_cell_length_a 4.715
_cell_length_b 4.715
_cell_length_c 4.715
_cell_angle_alpha 90.00
_cell_angle_beta 90.00
_cell_angle_gamma 90.00
loop_
_atom_site_label
_atom_site_type_symbol
_atom_site_fract_x
_atom_site_fract_y
_atom_site_fract_z
Si1 Si 0.000 0.000 0.500
Te1 Te 0.500 0.500 0.500
Os1 Os 0.000 0.000 0.000
```

| no. | VASP energy (eV per atom) |
| --- | --- |
| 1 | -3.12 |
| 2 | -5.25 |
| 3 | -4.67 |
| 4 | -4.63 |
| 5 | -6.70 |
| 6 | -4.55 |
| 7 | -5.99 |
| 8 | -4.61 |
| 9 | -2.19 |
| 10 | -3.87 |
| 11 | -4.09 |
| 12 | -5.88 |